Record 1
First-principles (PBE-GGA) data for KHgCl2 after structural relaxation, as listed in the Alexandria database.

Structure (CIF):
```
data_KHgCl2
_chemical_formula_sum 'K2 Hg2 Cl4'
_cell_length_a 6.231
_cell_length_b 6.243
_cell_length_c 6.083
_cell_angle_alpha 90.00
_cell_angle_beta 90.00
_cell_angle_gamma 90.00
_symmetry_space_group_name_H-M 'C m m m'
_symmetry_Int_Tables_number 65
_symmetry_space_group_name_Hall '-C 2 2'
loop_
_atom_site_label
_atom_site_type_symbol
_atom_site_fract_x
_atom_site_fract_y
_atom_site_fract_z
K1 K 0.000 0.000 0.000
Hg1 Hg 0.000 0.500 0.500
Cl1 Cl 0.000 0.000 0.500
Cl2 Cl 0.000 0.500 0.000
```

Summary:
For the total DFT energy (no corrections), the calculation gives -0.174 Ry per atom. The energy relative to the lowest polymorph listed for this composition is 0.000 eV/atom.

***

Record 2
First-principles (PBE-GGA) data for LiZrIrO4 after structural relaxation, as listed in the Alexandria database.

Structure (CIF):
```
data_LiZrIrO4
_chemical_formula_sum 'Li4 Zr4 Ir4 O16'
_cell_length_a 6.394
_cell_length_b 6.470
_cell_length_c 8.121
_cell_angle_alpha 90.00
_cell_angle_beta 90.00
_cell_angle_gamma 90.00
_symmetry_space_group_name_H-M 'I m m a'
_symmetry_Int_Tables_number 74
_symmetry_space_group_name_Hall '-I 2b 2'
loop_
_atom_site_label
_atom_site_type_symbol
_atom_site_fract_x
_atom_site_fract_y
_atom_site_fract_z
Li1 Li 0.000 0.250 0.110
Zr1 Zr 0.000 0.000 0.500
Ir1 Ir 0.250 0.250 0.750
O1 O 0.000 0.039 0.764
O2 O 0.219 0.250 0.491
```

Summary:
For the total DFT energy (no corrections), the calculation gives -0.557 Ry per atom.

***

Record 3
First-principles (PBE-GGA) data for NdYHgIr after structural relaxation, as listed in the Alexandria database.

Structure (CIF):
```
data_NdYHgIr
_chemical_formula_sum 'Nd4 Y4 Hg4 Ir4'
_cell_length_a 7.255
_cell_length_b 7.255
_cell_length_c 7.255
_cell_angle_alpha 90.00
_cell_angle_beta 90.00
_cell_angle_gamma 90.00
_symmetry_space_group_name_H-M 'F -4 3 m'
_symmetry_Int_Tables_number 216
_symmetry_space_group_name_Hall 'F -4 2 3'
loop_
_atom_site_label
_atom_site_type_symbol
_atom_site_fract_x
_atom_site_fract_y
_atom_site_fract_z
Nd1 Nd 0.000 0.000 0.000
Y1 Y 0.000 0.000 0.500
Hg1 Hg 0.250 0.250 0.750
Ir1 Ir 0.250 0.250 0.250
```

Summary:
For the formation energy, the calculation gives -2.2 eV per formula unit. For the total DFT energy (no corrections), the calculation gives -0.415 Ry per atom.

***

Record 4
First-principles (PBE-GGA) data for Ni3RhSe8 after structural relaxation, as listed in the Alexandria database.

Structure (CIF):
```
data_Ni3RhSe8
_chemical_formula_sum 'Ni6 Rh2 Se16'
_cell_length_a 12.610
_cell_length_b 7.281
_cell_length_c 4.950
_cell_angle_alpha 90.00
_cell_angle_beta 90.12
_cell_angle_gamma 90.00
_symmetry_space_group_name_H-M 'C 1 2/m 1'
_symmetry_Int_Tables_number 12
loop_
_symmetry_equiv_pos_as_xyz
'x,y,z'
'-x,-y,-z'
'-x,y,-z'
'x,-y,z'
'x+1/2,y+1/2,z'
'-x+1/2,-y+1/2,-z'
'-x+1/2,y+1/2,-z'
'x+1/2,-y+1/2,z'
loop_
_atom_site_label
_atom_site_type_symbol
_atom_site_fract_x
_atom_site_fract_y
_atom_site_fract_z
Ni1 Ni 0.000 0.000 0.000
Ni2 Ni 0.250 0.250 0.000
Rh1 Rh 0.000 0.500 0.000
Se1 Se 0.085 0.245 0.252
Se2 Se 0.167 0.000 0.767
Se3 Se 0.170 0.500 0.748
```

Summary:
For the total DFT energy (no corrections), the calculation gives -0.344 Ry per atom.

***

Record 5
First-principles (PBE-GGA) data for CePdSeO after structural relaxation, as listed in the Alexandria database.

Structure (CIF):
```
data_CePdSeO
_chemical_formula_sum 'Ce2 Pd2 Se2 O2'
_cell_length_a 3.517
_cell_length_b 3.517
_cell_length_c 12.092
_cell_angle_alpha 90.00
_cell_angle_beta 90.00
_cell_angle_gamma 90.00
_symmetry_space_group_name_H-M 'I 4 m m'
_symmetry_Int_Tables_number 107
_symmetry_space_group_name_Hall 'I 4 -2'
loop_
_atom_site_label
_atom_site_type_symbol
_atom_site_fract_x
_atom_site_fract_y
_atom_site_fract_z
Ce1 Ce 0.000 0.000 0.000
Pd1 Pd 0.000 0.000 0.698
Se1 Se 0.000 0.000 0.245
O1 O 0.000 0.000 0.497
```

Summary:
For the total DFT energy (no corrections), the calculation gives -0.474 Ry per atom.

***

Record 6
First-principles (PBE-GGA) data for AlCoRu2I after structural relaxation, as listed in the Alexandria database.

Structure (CIF):
```
data_AlCoRu2I
_chemical_formula_sum 'Al1 Co1 Ru2 I1'
_cell_length_a 4.522
_cell_length_b 4.522
_cell_length_c 4.784
_cell_angle_alpha 90.00
_cell_angle_beta 90.00
_cell_angle_gamma 90.00
_symmetry_space_group_name_H-M 'P 4/m m m'
_symmetry_Int_Tables_number 123
_symmetry_space_group_name_Hall '-P 4 2'
loop_
_atom_site_label
_atom_site_type_symbol
_atom_site_fract_x
_atom_site_fract_y
_atom_site_fract_z
Al1 Al 0.000 0.000 0.000
Co1 Co 0.500 0.500 0.500
Ru1 Ru 0.000 0.500 0.500
I1 I 0.500 0.500 0.000
```

Summary:
For the total DFT energy (no corrections), the calculation gives -0.356 Ry per atom.

***

Record 7
First-principles (PBE-GGA) data for Sc3Ir4 after structural relaxation, as listed in the Alexandria database.

Structure (CIF):
```
data_Sc3Ir4
_chemical_formula_sum 'Sc18 Ir24'
_cell_length_a 11.9855
_cell_length_b 11.9855
_cell_length_c 5.5564
_cell_angle_alpha 90.00
_cell_angle_beta 90.00
_cell_angle_gamma 120.00
_symmetry_space_group_name_H-M 'R -3'
_symmetry_Int_Tables_number 148
_symmetry_space_group_name_Hall '-R 3'
loop_
_atom_site_label
_atom_site_type_symbol
_atom_site_fract_x
_atom_site_fract_y
_atom_site_fract_z
Sc1 Sc 0.0459 0.2304 0.1826
Ir1 Ir 0.0000 0.0000 0.0000
Ir2 Ir 0.0000 0.0000 0.5000
Ir3 Ir 0.0481 0.2419 0.6720
```

Summary:
For the formation energy, the calculation gives -5.6 eV per formula unit. For the total DFT energy (no corrections), the calculation gives -0.631 Ry per atom. The energy relative to the lowest polymorph listed for this composition is 0.000 eV/atom.

***

Record 8
First-principles (PBE-GGA) data for ScBe9Tc2 after structural relaxation, as listed in the Alexandria database.

Structure (CIF):
```
data_ScBe9Tc2
_chemical_formula_sum 'Sc2 Be18 Tc4'
_cell_length_a 4.4025
_cell_length_b 4.4025
_cell_length_c 14.1950
_cell_angle_alpha 90.00
_cell_angle_beta 90.00
_cell_angle_gamma 120.00
_symmetry_space_group_name_H-M 'P 63/m m c'
_symmetry_Int_Tables_number 194
_symmetry_space_group_name_Hall '-P 6c 2c'
loop_
_atom_site_label
_atom_site_type_symbol
_atom_site_fract_x
_atom_site_fract_y
_atom_site_fract_z
Sc1 Sc 0.3333 0.6667 0.2500
Be1 Be 0.0000 0.0000 0.0000
Be2 Be 0.0000 0.0000 0.2500
Be3 Be 0.1694 0.3387 0.6223
Be4 Be 0.3333 0.6667 0.7500
Tc1 Tc 0.3333 0.6667 0.0310
```

Summary:
For the formation energy, the calculation gives -3.7 eV per formula unit. For the total DFT energy (no corrections), the calculation gives -0.394 Ry per atom.

***

Record 9
First-principles (PBE-GGA) data for LaNd2Zn2Ge2 after structural relaxation, as listed in the Alexandria database.

Structure (CIF):
```
data_LaNd2Zn2Ge2
_chemical_formula_sum 'La3 Nd6 Zn6 Ge6'
_cell_length_a 4.2242
_cell_length_b 4.2242
_cell_length_c 35.1361
_cell_angle_alpha 90.00
_cell_angle_beta 90.00
_cell_angle_gamma 120.00
_symmetry_space_group_name_H-M 'R -3 m'
_symmetry_Int_Tables_number 166
_symmetry_space_group_name_Hall '-R 3 2"'
loop_
_atom_site_label
_atom_site_type_symbol
_atom_site_fract_x
_atom_site_fract_y
_atom_site_fract_z
La1 La 0.0000 0.0000 0.0000
Nd1 Nd 0.0000 0.0000 0.1230
Zn1 Zn 0.0000 0.0000 0.3991
Ge1 Ge 0.0000 0.0000 0.2721
```

Summary:
For the formation energy, the calculation gives -3.5 eV per formula unit. For the total DFT energy (no corrections), the calculation gives -0.312 Ry per atom.

***

Record 10
First-principles (PBE-GGA) data for AlSbSe2Br after structural relaxation, as listed in the Alexandria database.

Structure (CIF):
```
data_AlSbSe2Br
_chemical_formula_sum 'Al1 Sb1 Se2 Br1'
_cell_length_a 5.334
_cell_length_b 5.334
_cell_length_c 5.678
_cell_angle_alpha 90.00
_cell_angle_beta 90.00
_cell_angle_gamma 90.00
_symmetry_space_group_name_H-M 'P 4/m m m'
_symmetry_Int_Tables_number 123
_symmetry_space_group_name_Hall '-P 4 2'
loop_
_atom_site_label
_atom_site_type_symbol
_atom_site_fract_x
_atom_site_fract_y
_atom_site_fract_z
Al1 Al 0.000 0.000 0.000
Sb1 Sb 0.500 0.500 0.500
Se1 Se 0.000 0.500 0.500
Br1 Br 0.500 0.500 0.000
```

Summary:
For the total DFT energy (no corrections), the calculation gives -0.230 Ry per atom. The energy relative to the lowest polymorph listed for this composition is 0.258 eV/atom.

***

Record 11
First-principles (PBE-GGA) data for BaGe3I after structural relaxation, as listed in the Alexandria database.

Structure (CIF):
```
data_BaGe3I
_chemical_formula_sum 'Ba1 Ge3 I1'
_cell_length_a 6.083
_cell_length_b 6.083
_cell_length_c 6.083
_cell_angle_alpha 90.00
_cell_angle_beta 90.00
_cell_angle_gamma 90.00
_symmetry_space_group_name_H-M 'P m -3 m'
_symmetry_Int_Tables_number 221
_symmetry_space_group_name_Hall '-P 4 2 3'
loop_
_atom_site_label
_atom_site_type_symbol
_atom_site_fract_x
_atom_site_fract_y
_atom_site_fract_z
Ba1 Ba 0.000 0.000 0.000
Ge1 Ge 0.000 0.000 0.500
I1 I 0.500 0.500 0.500
```

Summary:
For the total DFT energy (no corrections), the calculation gives -0.168 Ry per atom. The energy relative to the lowest polymorph listed for this composition is 0.695 eV/atom.

***

Record 12
First-principles (PBE-GGA) data for Mg6TiCu after structural relaxation, as listed in the Alexandria database.

Structure (CIF):
```
data_Mg6TiCu
_chemical_formula_sum 'Mg12 Ti2 Cu2'
_cell_length_a 4.853
_cell_length_b 6.075
_cell_length_c 10.881
_cell_angle_alpha 90.00
_cell_angle_beta 90.00
_cell_angle_gamma 90.00
_symmetry_space_group_name_H-M 'A m m 2'
_symmetry_Int_Tables_number 38
loop_
_symmetry_equiv_pos_as_xyz
'x,y,z'
'-x,-y,z'
'-x,y,z'
'x,-y,z'
'x,y+1/2,z+1/2'
'-x,-y+1/2,z+1/2'
'-x,y+1/2,z+1/2'
'x,-y+1/2,z+1/2'
loop_
_atom_site_label
_atom_site_type_symbol
_atom_site_fract_x
_atom_site_fract_y
_atom_site_fract_z
Mg1 Mg 0.000 0.000 0.000
Mg2 Mg 0.000 0.000 0.490
Mg3 Mg 0.000 0.250 0.256
Mg4 Mg 0.500 0.248 0.093
Ti1 Ti 0.500 0.000 0.845
Cu1 Cu 0.500 0.000 0.334
```

Summary:
For the formation energy, the calculation gives 0.9 eV per formula unit. For the total DFT energy (no corrections), the calculation gives -0.190 Ry per atom. The energy relative to the lowest polymorph listed for this composition is 0.011 eV/atom.

***

Calculated values (states/eV per atom) of density of states at the Fermi level for the records, taken in order: 0.37, 0.00, 0.69, 0.38, 1.42, 1.71, 0.84, 0.33, 0.77, 0.36, 0.99, 0.56.